Version w
Entry from Alexandria: a relaxed structure of ErMn2O4 (PBE with a Hubbard U).

The structure belongs to space group Pca2_1 (No. 29); the cell edges are 10.302, 3.164 and 9.997 Å and the angles 90.00°, 90.00° and 90.00°. The distinct sites, in fractional coordinates, are Er at (0.139, 0.207, 0.000), Mn at (0.114, 0.696, 0.312), Mn at (0.124, 0.733, 0.675), O at (0.020, 0.683, 0.122), O at (0.047, 0.737, 0.855), O at (0.206, 0.710, 0.498) and O at (0.245, 0.176, 0.229).

***

Version x
Entry from Alexandria: a relaxed structure of ErMn2O4 (PBE with a Hubbard U).

The structure belongs to space group C2/m (No. 12); the cell edges are 11.313, 6.191 and 6.253 Å and the angles 90.00°, 122.98° and 90.00°. The distinct sites, in fractional coordinates, are Er at (0.125, 0.000, 0.389), Mn at (0.000, 0.500, 0.000), Mn at (0.000, 0.500, 0.500), Mn at (0.250, 0.250, 0.000), O at (0.008, 0.277, 0.734), O at (0.233, 0.500, 0.206) and O at (0.248, 0.000, 0.222).

***

Which structure loses on stability? version x does.